No. 1
Material: FeCoAuSe2
Method: DFT, meta-GGA SCAN
State: single point on PBEsol structure

Cell: 4.477 4.477 4.803 Å, 90.00 90.00 90.00°
Fractional coordinates of all 5 atoms:
Fe  0.000  0.000  0.000
Co  0.500  0.500  0.500
Au  0.000  0.000  0.500
Se  0.000  0.500  0.000
Se  0.500  0.000  0.000

Total DFT energy (no corrections) in Ry/atom: -2.0734
Formation energy without anion corrections in eV/atom: 0.740



No. 2
Material: NaIrPd3
Method: DFT, meta-GGA SCAN
State: single point on PBEsol structure

Cell: 4.379 4.379 4.379 Å, 90.00 90.00 90.00°
Fractional coordinates of all 5 atoms:
Na  0.000  0.000  0.000
Ir  0.500  0.500  0.500
Pd  0.000  0.000  0.500
Pd  0.000  0.500  0.000
Pd  0.500  0.000  0.000

Total DFT energy (no corrections) in Ry/atom: -2.4387
Formation energy in eV/f.u.: 7.7



No. 3
Material: ReSi2Pb2
Method: DFT, meta-GGA SCAN
State: single point on PBEsol structure

Cell: 9.111 9.111 9.111 Å, 158.65 158.65 30.37°
Fractional coordinates of all 5 atoms:
Re  0.000  0.000  0.000
Si  0.250  0.750  0.500
Si  0.750  0.250  0.500
Pb  0.406  0.406  0.000
Pb  0.594  0.594  0.000

Total DFT energy (no corrections) in Ry/atom: -3.5042
Formation energy without anion corrections in eV/atom: 0.861



No. 4
Material: BaNd2Se4
Method: DFT, meta-GGA SCAN
State: single point on PBEsol structure

Cell: 7.841 7.841 7.841 Å, 109.41 109.41 109.59°
Fractional coordinates of all 14 atoms:
Ba  0.000  0.000  0.000
Ba  0.750  0.250  0.500
Nd  0.249  0.125  0.624
Nd  0.375  0.751  0.876
Nd  0.501  0.625  0.376
Nd  0.875  0.499  0.124
Se  0.141  0.395  0.414
Se  0.145  0.391  0.914
Se  0.272  0.859  0.253
Se  0.478  0.231  0.086
Se  0.605  0.019  0.747
Se  0.609  0.522  0.753
Se  0.769  0.855  0.247
Se  0.981  0.728  0.586

Total DFT energy (no corrections) in Ry/atom: -2.3339
Formation energy without anion corrections in eV/atom: -2.179



No. 5
Material: NaP4Ru2O14
Method: DFT, meta-GGA SCAN
State: single point on PBEsol structure

Cell: 4.812 6.931 8.010 Å, 90.88 92.53 105.59°
Fractional coordinates of all 21 atoms:
Na  0.000  0.000  0.000
P  0.127  0.368  0.260
P  0.162  0.627  0.773
P  0.529  0.759  0.321
P  0.759  0.237  0.710
Ru  0.144  0.997  0.516
Ru  0.643  0.495  0.017
O  0.016  0.186  0.365
O  0.273  0.808  0.667
O  0.285  0.316  0.109
O  0.334  0.901  0.327
O  0.350  0.537  0.372
O  0.413  0.541  0.822
O  0.507  0.197  0.582
O  0.612  0.749  0.138
O  0.687  0.246  0.895
O  0.780  0.798  0.451
O  0.874  0.452  0.211
O  0.941  0.457  0.658
O  0.952  0.092  0.705
O  0.997  0.676  0.921

Total DFT energy (no corrections) in Ry/atom: -0.8621
Formation energy without anion corrections in eV/atom: -2.077



No. 6
Material: HgRhCl3
Method: DFT, meta-GGA SCAN
State: single point on PBEsol structure

Cell: 5.108 5.108 5.108 Å, 90.00 90.00 90.00°
Fractional coordinates of all 5 atoms:
Hg  0.000  0.000  0.000
Rh  0.500  0.500  0.500
Cl  0.000  0.000  0.500
Cl  0.000  0.500  0.000
Cl  0.500  0.000  0.000

Total DFT energy (no corrections) in Ry/atom: -1.8232
Energy above the most stable polymorph in this dataset in meV/atom: 690
Formation energy without anion corrections in eV/atom: 0.369



No. 7
Material: LaFe2W
Method: DFT, meta-GGA SCAN
State: single point on PBEsol structure

Cell: 4.436 4.436 4.436 Å, 60.00 60.00 60.00°
Fractional coordinates of all 4 atoms:
La  0.000  0.000  0.000
Fe  0.500  0.500  0.500
Fe  0.750  0.750  0.750
W  0.250  0.250  0.250

Total DFT energy (no corrections) in Ry/atom: -2.6778
Formation energy in eV/f.u.: 3.3
Energy above the most stable polymorph in this dataset in meV/atom: 138



No. 8
Material: NaHfCuCl2
Method: DFT, meta-GGA SCAN
State: single point on PBEsol structure

Cell: 4.612 4.612 5.030 Å, 90.00 90.00 90.00°
Fractional coordinates of all 5 atoms:
Na  0.000  0.000  0.000
Hf  0.500  0.500  0.500
Cu  0.000  0.000  0.500
Cl  0.000  0.500  0.000
Cl  0.500  0.000  0.000

Total DFT energy (no corrections) in Ry/atom: -1.4220
Formation energy without anion corrections in eV/atom: 0.261



Question: Among the records above, which one has the highest total DFT energy (no corrections)?
Answer: NaP4Ru2O14